1.
This record from Alexandria describes a geometry-optimized LaSmGdEr structure. The functional is PBE-GGA.

Structure (CIF):
```
data_LaSmGdEr
_chemical_formula_sum 'La4 Sm4 Gd4 Er4'
_cell_length_a 8.149
_cell_length_b 8.149
_cell_length_c 8.149
_cell_angle_alpha 90.00
_cell_angle_beta 90.00
_cell_angle_gamma 90.00
_space_group_name_H-M_alt 'F -4 3 m'
_space_group_IT_number 216
_space_group_name_Hall 'F -4 2 3'
loop_
_atom_site_label
_atom_site_fract_x
_atom_site_fract_y
_atom_site_fract_z
La1 0.000 0.000 0.000
Sm1 0.000 0.000 0.500
Gd1 0.250 0.250 0.750
Er1 0.250 0.250 0.250
```

## Properties
**Formation energy**: 105 meV per atom

---

2.
This record from Alexandria describes a geometry-optimized LaGdErTm structure. The functional is PBE-GGA.

Structure (CIF):
```
data_LaGdErTm
_chemical_formula_sum 'La4 Gd4 Er4 Tm4'
_cell_length_a 8.077
_cell_length_b 8.077
_cell_length_c 8.077
_cell_angle_alpha 90.00
_cell_angle_beta 90.00
_cell_angle_gamma 90.00
_space_group_name_H-M_alt 'F -4 3 m'
_space_group_IT_number 216
_space_group_name_Hall 'F -4 2 3'
loop_
_atom_site_label
_atom_site_fract_x
_atom_site_fract_y
_atom_site_fract_z
La1 0.000 0.000 0.000
Gd1 0.000 0.000 0.500
Er1 0.250 0.250 0.750
Tm1 0.250 0.250 0.250
```

## Properties
**Formation energy**: 88 meV per atom

---

no.,mass density (g cm⁻³),size of the total moment (μB per cell)
1,7.53,32.033
2,7.97,30.031